Record 1
## Ca6PCl8 (PBE)

Data for a relaxed Ca6PCl8 crystal.

a b c (Å): 7.1691 7.1691 10.4661
angles (deg): 69.97 69.97 60.00
Last column: nearest neighbours and their distance in Å.
Element x y z (fractional)
Cl 0.7549 0.4583 0.6810  3 Ca 2.74-2.78
Cl 0.3334 0.3334 0.9998  6 Ca 3.01
Cl 0.4583 0.1058 0.6810  3 Ca 2.74-2.78
Cl 0.8942 0.2451 0.3190  3 Ca 2.74-2.78
Cl 0.5417 0.8942 0.3190  3 Ca 2.74-2.78
Cl 0.1058 0.7549 0.6810  3 Ca 2.74-2.78
Cl 0.2451 0.5417 0.3190  3 Ca 2.74-2.78
Cl 0.6666 0.6666 0.0002  6 Ca 3.01
P 0.0000 0.0000 0.0000  6 Ca 2.81
Ca 0.2511 0.9403 0.1782  5 Cl 2.74-3.01, 1 P 2.81
Ca 0.6305 0.2511 0.1782  5 Cl 2.74-3.01, 1 P 2.81
Ca 0.0597 0.3695 0.8218  5 Cl 2.74-3.01, 1 P 2.81
Ca 0.9403 0.6305 0.1782  5 Cl 2.74-3.01, 1 P 2.81
Ca 0.3695 0.7489 0.8218  5 Cl 2.74-3.01, 1 P 2.81
Ca 0.7489 0.0597 0.8218  5 Cl 2.74-3.01, 1 P 2.81

- raw formation energy (meV/atom) = -2069
- VASP energy (eV per atom) = -4.21
- total moment (μB per atom) = 0.000

=====

Record 2
## KInC (PBE)

Data for a relaxed KInC crystal.

a b c (Å): 10.8543 10.8543 8.2450
angles (deg): 48.83 48.83 90.00
Last column: nearest neighbours and their distance in Å.
Element x y z (fractional)
In 0.8551 0.8551 0.0000  2 C 2.13
In 0.8551 0.1449 0.0000  2 C 2.13
In 0.1449 0.8551 0.0000  2 C 2.13
In 0.1449 0.1449 0.0000  2 C 2.13
K 0.5000 0.1694 0.0000  4 C 3.04-3.07
K 0.5000 0.8306 0.0000  4 C 3.04-3.07
K 0.1694 0.5000 0.0000  4 C 3.04-3.07
K 0.8306 0.5000 0.0000  4 C 3.04-3.07
C 0.0000 0.7234 0.0000  2 In 2.13
C 0.2766 0.0000 0.0000  2 In 2.13
C 0.7234 0.0000 0.0000  2 In 2.13
C 0.0000 0.2766 0.0000  2 In 2.13

- VASP energy (eV per atom) = -3.45
- total moment (μB per atom) = 0.048
- formation enthalpy at 0 K (eV/atom) = 0.90

=====

Record 3
## V4Ga2Re (PBE)

Data for a relaxed V4Ga2Re crystal.

a b c (Å): 4.5892 4.5892 7.2800
angles (deg): 71.63 71.63 90.00
Last column: nearest neighbours and their distance in Å.
Element x y z (fractional)
Ga 0.3809 0.3809 0.2382  5 V 2.58-2.77
Ga 0.6191 0.6191 0.7618  5 V 2.58-2.77
V 0.8167 0.8167 0.3666  1 Re 2.39, 1 Ga 2.58
V 0.5000 0.0000 0.0000  2 Re 2.29
V 0.1833 0.1833 0.6334  1 Re 2.39, 1 Ga 2.58
V 0.0000 0.5000 0.0000  2 Re 2.29
Re 0.0000 0.0000 0.0000  6 V 2.29-2.39

- VASP energy (eV per atom) = -6.95
- total moment (μB per atom) = 0.336
- formation enthalpy at 0 K (eV/atom) = 0.90

=====

Record 4
## LiTl6Sn2 (PBE)

Data for a relaxed LiTl6Sn2 crystal.

a b c (Å): 4.9114 7.0496 8.7345
angles (deg): 66.20 82.19 70.32
Last column: nearest neighbours and their distance in Å.
Element x y z (fractional)
Tl 0.8324 0.4790 0.6777  3 Sn 3.19-3.40, 5 Tl 3.26-3.55, 1 Li 3.33
Tl 0.3336 0.3237 0.0000  2 Li 3.23-3.30, 2 Sn 3.28, 8 Tl 3.38-3.57
Tl 0.1676 0.8434 0.6777  3 Sn 3.19-3.40, 5 Tl 3.26-3.55, 1 Li 3.33
Tl 0.8324 0.1566 0.3223  3 Sn 3.19-3.40, 5 Tl 3.26-3.55, 1 Li 3.33
Tl 0.1676 0.5210 0.3223  3 Sn 3.19-3.40, 5 Tl 3.26-3.55, 1 Li 3.33
Tl 0.6664 0.6763 0.0000  2 Li 3.23-3.30, 2 Sn 3.28, 8 Tl 3.38-3.57
Sn 0.5000 0.1547 0.6906  8 Tl 3.19-3.40, 2 Li 3.48
Sn 0.5000 0.8453 0.3094  8 Tl 3.19-3.40, 2 Li 3.48
Li 0.0000 0.0000 0.0000  8 Tl 3.23-3.33, 4 Sn 3.48

- VASP energy (eV per atom) = -2.68
- total moment (μB per atom) = 0.000
- formation enthalpy at 0 K (eV/atom) = 0.00

=====

Record 5
## CaThAl2 (PBE)

Data for a relaxed CaThAl2 crystal.

a b c (Å): 5.2278 5.2278 5.2278
angles (deg): 60.00 60.00 60.00
Last column: nearest neighbours and their distance in Å.
Element x y z (fractional)
Ca 0.5000 0.5000 0.5000  8 Al 3.20
Al 0.2500 0.2500 0.2500  4 Th 3.20, 4 Ca 3.20
Al 0.7500 0.7500 0.7500  4 Th 3.20, 4 Ca 3.20
Th 0.0000 0.0000 0.0000  8 Al 3.20

- VASP energy (eV per atom) = -4.41
- energy above the most stable polymorph in this dataset (meV/atom) = 42
- total moment (μB per atom) = 0.000
- formation enthalpy at 0 K (eV/atom) = -0.18

=====

Record 6
## BeCrRu2 (PBE)

Data for a relaxed BeCrRu2 crystal.

a b c (Å): 3.5545 2.6856 5.4270
angles (deg): 71.24 90.00 90.00
Last column: nearest neighbours and their distance in Å.
Element x y z (fractional)
Be 0.5000 0.2500 0.2500  4 Ru 2.31
Ru 0.0000 0.0866 0.0137  2 Be 2.31
Ru 0.0000 0.4134 0.4863  2 Be 2.31
Cr 0.5000 0.7500 0.7500  8 Ru 2.60-2.62, 2 Be 2.61, 2 Cr 2.69

- VASP energy (eV per atom) = -7.93
- total moment (μB per atom) = 0.228
- formation enthalpy at 0 K (eV/atom) = 0.04

=====

Record 7
## ZnCr2Tc (PBE)

Data for a relaxed ZnCr2Tc crystal.

a b c (Å): 4.5965 4.5965 4.5965
angles (deg): 132.57 132.57 69.33
Last column: nearest neighbours and their distance in Å.
Element x y z (fractional)
Cr 0.0000 0.0000 0.0000  4 Cr 2.61, 4 Tc 2.64, 4 Zn 2.64
Cr 0.5000 0.5000 0.0000  4 Cr 2.61, 4 Zn 2.64, 4 Tc 2.64
Zn 0.7500 0.2500 0.5000  4 Tc 2.61, 8 Cr 2.64
Tc 0.2500 0.7500 0.5000  4 Zn 2.61, 8 Cr 2.64

- VASP energy (eV per atom) = -7.49
- total moment (μB per atom) = 0.000
- formation enthalpy at 0 K (eV/atom) = 0.23